Here is crystalline AcNd4Y2 at its relaxed geometry from Alexandria. Energies are from PBE.

a = 9.432 Å, b = 9.432 Å, c = 9.432 Å
α = 143.06°, β = 143.06°, γ = 53.24°
Fractional positions:
Ac 0.000 0.000 0.000
Nd 0.000 0.500 0.500
Nd 0.191 0.191 0.000
Nd 0.500 0.000 0.500
Nd 0.809 0.809 0.000
Y 0.395 0.395 0.000
Y 0.605 0.605 0.000

N(E_F) in states/eV/cell: 11.80
Volume in A^3/atom: 43.0
Energy above the lowest structure with this stoichiometry in meV per atom: 567

---

Here is crystalline AcNdY at its relaxed geometry from Alexandria. Energies are from PBE.

a = 8.264 Å, b = 8.264 Å, c = 5.351 Å
α = 90.00°, β = 90.00°, γ = 142.26°
Fractional positions:
Ac 0.250 0.750 0.750
Ac 0.750 0.250 0.250
Nd 0.079 0.921 0.250
Nd 0.921 0.079 0.750
Y 0.422 0.578 0.250
Y 0.578 0.422 0.750

N(E_F) in states/eV/cell: 10.27
Volume in A^3/atom: 37.3
Energy above the lowest structure with this stoichiometry in meV per atom: 0

---

Here is crystalline AcNd5Y3 at its relaxed geometry from Alexandria. Energies are from PBE.

a = 8.567 Å, b = 8.567 Å, c = 10.145 Å
α = 100.42°, β = 100.42°, γ = 87.69°
Fractional positions:
Ac 0.236 0.236 0.229
Ac 0.764 0.764 0.771
Nd 0.108 0.614 0.370
Nd 0.248 0.248 0.904
Nd 0.253 0.747 0.000
Nd 0.263 0.263 0.584
Nd 0.386 0.892 0.630
Nd 0.614 0.108 0.370
Nd 0.737 0.737 0.416
Nd 0.747 0.253 0.000
Nd 0.752 0.752 0.096
Nd 0.892 0.386 0.630
Y 0.000 0.000 0.000
Y 0.005 0.005 0.344
Y 0.498 0.498 0.829
Y 0.500 0.500 0.500
Y 0.502 0.502 0.171
Y 0.995 0.995 0.656

N(E_F) in states/eV/cell: 27.39
Volume in A^3/atom: 40.0
Energy above the lowest structure with this stoichiometry in meV per atom: 386

---

Here is crystalline AcNd4Y4 at its relaxed geometry from Alexandria. Energies are from PBE.

a = 8.211 Å, b = 8.211 Å, c = 8.211 Å
α = 95.71°, β = 95.71°, γ = 143.23°
Fractional positions:
Ac 0.000 0.000 0.000
Nd 0.330 0.330 0.660
Nd 0.330 0.670 0.000
Nd 0.670 0.330 0.000
Nd 0.670 0.670 0.340
Y 0.000 0.337 0.337
Y 0.000 0.663 0.663
Y 0.337 0.000 0.337
Y 0.663 0.000 0.663

N(E_F) in states/eV/cell: 14.43
Volume in A^3/atom: 34.9
Energy in eV per atom: -5.42